# CuRhF4 | Alexandria via LeMat-Bulk | GGA-PBE | optimized geometry
data_CuRhF4
_cell_length_a 5.332
_cell_length_b 5.332
_cell_length_c 6.431
_cell_angle_alpha 114.49
_cell_angle_beta 114.49
_cell_angle_gamma 90.00
_space_group_name_H-M_alt 'P 1'
_space_group_IT_number 1
loop_
_space_group_symop_operation_xyz
'x,y,z'
loop_
_atom_site_label
_atom_site_type_symbol
_atom_site_fract_x
_atom_site_fract_y
_atom_site_fract_z
Cu1 Cu 0.000 0.500 0.000
Cu2 Cu 0.500 0.000 0.000
Rh1 Rh 0.750 0.750 0.500
Rh2 Rh 0.250 0.250 0.500
F1 F 0.821 0.935 0.256
F2 F 0.565 0.679 0.744
F3 F 0.179 0.065 0.744
F4 F 0.679 0.179 0.744
F5 F 0.435 0.321 0.256
F6 F 0.935 0.435 0.256
F7 F 0.321 0.821 0.256
F8 F 0.065 0.565 0.744
# - M_tot (μB per atom) = 0.6693
# - calculated volume (Å³ per cell) = 148.1
# - ΔE_f (raw) (meV per atom) = -1195

=====

# CuRh2F | Alexandria via LeMat-Bulk | GGA-PBE | optimized geometry
data_CuRh2F
_cell_length_a 6.621
_cell_length_b 6.621
_cell_length_c 5.323
_cell_angle_alpha 51.54
_cell_angle_beta 51.54
_cell_angle_gamma 90.00
_space_group_name_H-M_alt 'P 1'
_space_group_IT_number 1
loop_
_space_group_symop_operation_xyz
'x,y,z'
loop_
_atom_site_label
_atom_site_type_symbol
_atom_site_fract_x
_atom_site_fract_y
_atom_site_fract_z
Rh1 Rh 0.587 0.125 0.250
Rh2 Rh 0.163 0.625 0.250
Rh3 Rh 0.375 0.413 0.750
Rh4 Rh 0.875 0.837 0.750
Cu1 Cu 0.000 0.000 0.000
Cu2 Cu 0.750 0.250 0.500
F1 F 0.500 0.500 0.000
F2 F 0.250 0.750 0.500
# - M_tot (μB per atom) = 0.5399
# - calculated volume (Å³ per cell) = 111.0
# - ΔE_f (raw) (meV per atom) = 319

=====

# CuRhF6 | Alexandria via LeMat-Bulk | GGA-PBE | optimized geometry
data_CuRhF6
_cell_length_a 4.921
_cell_length_b 4.921
_cell_length_c 9.227
_cell_angle_alpha 90.00
_cell_angle_beta 90.00
_cell_angle_gamma 120.00
_space_group_name_H-M_alt 'P 1'
_space_group_IT_number 1
loop_
_space_group_symop_operation_xyz
'x,y,z'
loop_
_atom_site_label
_atom_site_type_symbol
_atom_site_fract_x
_atom_site_fract_y
_atom_site_fract_z
Cu1 Cu 0.333 0.667 0.250
Cu2 Cu 0.667 0.333 0.750
Rh1 Rh 0.000 0.000 0.500
Rh2 Rh 0.000 0.000 0.000
F1 F 0.322 0.330 0.377
F2 F 0.678 0.670 0.623
F3 F 0.008 0.678 0.377
F4 F 0.322 0.992 0.123
F5 F 0.992 0.322 0.623
F6 F 0.678 0.008 0.877
F7 F 0.670 0.992 0.377
F8 F 0.008 0.330 0.123
F9 F 0.330 0.008 0.623
F10 F 0.992 0.670 0.877
F11 F 0.670 0.678 0.123
F12 F 0.330 0.322 0.877
# - M_tot (μB per atom) = 0.2523
# - calculated volume (Å³ per cell) = 193.5
# - ΔE_f (raw) (meV per atom) = -1502

=====

ΔE_f (raw) of number 2 (CuRh2F)? 319 meV per atom